[1]
VASP calculation (PBE) on a relaxed Ce2ThTlC crystal.

Lattice parameters (Å, degrees): 5.0749 5.0064 5.0064 90.00 90.00 90.00
With the nearest neighbours (Å) after each atom.
Fractional coordinates of all 5 atoms:
Ce: 0.0000 0.0000 0.5000  2 C 2.50
Ce: 0.0000 0.5000 0.0000  2 C 2.50
Th: 0.5000 0.0000 0.0000  2 C 2.54
Tl: 0.5000 0.5000 0.5000  4 Th 3.54, 8 Ce 3.56
C: 0.0000 0.0000 0.0000  4 Ce 2.50, 2 Th 2.54

Computed properties:
The value obtained for the total energy is -6.444 eV/atom.

[2]
VASP calculation (PBE) on a relaxed Ce2ThUC4 crystal.

Lattice parameters (Å, degrees): 3.6634 6.3187 6.3287 70.53 90.00 90.00
With the nearest neighbours (Å) after each atom.
Fractional coordinates of all 8 atoms:
Ce: 0.0000 0.0000 0.0000  6 C 2.74-2.81
Ce: 0.5000 0.0000 0.5000  6 C 2.57
Th: 0.5000 0.5000 0.0000  6 C 2.61-2.62
U: 0.0000 0.5000 0.5000  6 C 2.36-2.44
C: 0.0000 0.7325 0.7243  1 U 2.36, 2 Ce 2.57, 2 Th 2.62
C: 0.0000 0.2675 0.2757  1 U 2.36, 2 Ce 2.57, 2 Th 2.62
C: 0.5000 0.7232 0.2814  2 U 2.44, 1 Ce 2.57, 1 Th 2.61
C: 0.5000 0.2768 0.7186  2 U 2.44, 1 Ce 2.57, 1 Th 2.61

Computed properties:
The value obtained for the total energy is -8.584 eV/atom.

[3]
VASP calculation (PBE) on a relaxed CeTh2VC4 crystal.

Lattice parameters (Å, degrees): 3.6490 6.3302 12.6879 90.00 90.00 106.75
With the nearest neighbours (Å) after each atom.
Fractional coordinates of all 16 atoms:
Ce: 0.1086 0.2172 0.7500  6 C 2.76-3.01
Ce: 0.8914 0.7828 0.2500  6 C 2.76-3.01
Th: 0.3678 0.7355 0.5452  6 C 2.50-2.72
Th: 0.6322 0.2645 0.0452  6 C 2.50-2.72
Th: 0.6322 0.2645 0.4548  6 C 2.50-2.72
Th: 0.3678 0.7355 0.9548  6 C 2.50-2.72
V: 0.8312 0.6624 0.7500  4 C 1.89-2.06
V: 0.1688 0.3376 0.2500  4 C 1.89-2.06
C: 0.2687 0.5375 0.1359  1 V 1.89
C: 0.7313 0.4625 0.6359  1 V 1.89
C: 0.7313 0.4625 0.8641  1 V 1.89
C: 0.2687 0.5375 0.3641  1 V 1.89
C: 0.0000 0.0000 0.5000  4 Th 2.50
C: 0.0000 0.0000 0.0000  4 Th 2.50
C: 0.4107 0.8213 0.7500  2 V 2.06
C: 0.5893 0.1787 0.2500  2 V 2.06

Computed properties:
The value obtained for the total energy is -8.437 eV/atom.

[4]
VASP calculation (PBE) on a relaxed Ce2ThW2C4 crystal.

Lattice parameters (Å, degrees): 3.4564 8.6073 5.7470 93.37 90.00 101.58
With the nearest neighbours (Å) after each atom.
Fractional coordinates of all 9 atoms:
Ce: 0.8428 0.6855 0.4265  5 C 2.48-2.67
Ce: 0.1572 0.3145 0.5735  5 C 2.48-2.67
Th: 0.0000 0.0000 0.0000  4 C 2.48
W: 0.3115 0.6230 0.9369  4 C 1.99-2.13
W: 0.6885 0.3770 0.0631  4 C 1.99-2.13
C: 0.7614 0.5228 0.7728  3 W 2.12-2.13
C: 0.2386 0.4772 0.2272  3 W 2.12-2.13
C: 0.4100 0.8201 0.1461  1 W 1.99
C: 0.5900 0.1799 0.8539  1 W 1.99

Computed properties:
The value obtained for the total energy is -9.169 eV/atom.

[5]
VASP calculation (PBE) on a relaxed Ce2ThWC4 crystal.

Lattice parameters (Å, degrees): 3.5326 6.3547 12.6820 90.00 90.00 106.14
With the nearest neighbours (Å) after each atom.
Fractional coordinates of all 16 atoms:
Ce: 0.3678 0.7357 0.5378  5 C 2.44-2.68
Ce: 0.6322 0.2643 0.0378  5 C 2.44-2.68
Ce: 0.6322 0.2643 0.4622  5 C 2.44-2.68
Ce: 0.3678 0.7357 0.9622  5 C 2.44-2.68
Th: 0.1056 0.2111 0.7500  6 C 2.72-2.80
Th: 0.8944 0.7889 0.2500  6 C 2.72-2.80
W: 0.8417 0.6835 0.7500  4 C 1.96-2.11
W: 0.1583 0.3165 0.2500  4 C 1.96-2.11
C: 0.2638 0.5276 0.1336  1 W 1.96
C: 0.7362 0.4724 0.6336  1 W 1.96
C: 0.7362 0.4724 0.8664  1 W 1.96
C: 0.2638 0.5276 0.3664  1 W 1.96
C: 0.0000 0.0000 0.5000  4 Ce 2.44
C: 0.0000 0.0000 0.0000  4 Ce 2.44
C: 0.4358 0.8715 0.7500  2 W 2.11
C: 0.5642 0.1285 0.2500  2 W 2.11

Computed properties:
The value obtained for the total energy is -8.689 eV/atom.

[6]
VASP calculation (PBE) on a relaxed CeThWC3 crystal.

Lattice parameters (Å, degrees): 3.7238 7.5864 7.9380 93.92 90.00 90.00
With the nearest neighbours (Å) after each atom.
Fractional coordinates of all 12 atoms:
Ce: 0.7500 0.8436 0.8408  5 C 2.52-2.78
Ce: 0.2500 0.1564 0.1592  5 C 2.52-2.78
Th: 0.2500 0.6174 0.1785  3 C 2.40-2.63
Th: 0.7500 0.3826 0.8215  3 C 2.40-2.63
W: 0.2500 0.1007 0.5930  4 C 1.97-2.11
W: 0.7500 0.8993 0.4070  4 C 1.97-2.11
C: 0.2500 0.8363 0.4909  3 W 2.04-2.11
C: 0.7500 0.8843 0.1589  1 W 1.97
C: 0.7500 0.3751 0.1233  3 Th 2.40-2.63, 2 Ce 2.52
C: 0.7500 0.1637 0.5091  3 W 2.04-2.11
C: 0.2500 0.6249 0.8767  3 Th 2.40-2.63, 2 Ce 2.52
C: 0.2500 0.1157 0.8411  1 W 1.97

Computed properties:
The value obtained for the total energy is -8.947 eV/atom.

[7]
VASP calculation (PBE) on a relaxed Ce2ThZnC crystal.

Lattice parameters (Å, degrees): 4.9112 4.9111 5.0294 90.00 90.00 90.00
With the nearest neighbours (Å) after each atom.
Fractional coordinates of all 5 atoms:
Ce: 0.0000 0.5000 0.0002  2 C 2.46
Ce: 0.5000 0.0000 0.0002  2 C 2.46
Th: 0.0000 0.0000 0.5001  2 C 2.51
Zn: 0.5000 0.5000 0.4995  4 Th 3.47, 8 Ce 3.51-3.52
C: 0.0000 0.0000 0.0001  4 Ce 2.46, 2 Th 2.51

Computed properties:
The value obtained for the total energy is -6.082 eV/atom.

[8]
VASP calculation (PBE) on a relaxed CeTiC2 crystal.

Lattice parameters (Å, degrees): 3.3214 3.3214 5.9688 73.85 73.85 60.00
With the nearest neighbours (Å) after each atom.
Fractional coordinates of all 4 atoms:
C: 0.2630 0.2630 0.2112  3 Ti 2.26, 3 Ce 2.52
C: 0.7370 0.7370 0.7889  3 Ti 2.26, 3 Ce 2.52
Ce: 0.5000 0.5000 0.5000  6 C 2.52
Ti: 0.0000 0.0000 0.0000  6 C 2.26

Computed properties:
The value obtained for the total energy is -8.317 eV/atom.